1:
The following is a PBE calculation of NaReTe2 after structural relaxation, from Alexandria via LeMat-Bulk.

Cell and atoms, written as POSCAR:
```
NaReTe2
1.0
6.948 0.000 0.000
0.000 6.948 0.000
0.000 0.000 11.363
Na Re Te
4 4 8
direct
0.000 0.000 0.000
0.000 0.500 0.250
0.500 0.000 0.750
0.500 0.500 0.500
0.000 0.000 0.500
0.000 0.500 0.750
0.500 0.000 0.250
0.500 0.500 0.000
0.181 0.250 0.625
0.250 0.681 0.875
0.250 0.819 0.375
0.319 0.250 0.125
0.681 0.750 0.125
0.750 0.181 0.375
0.750 0.319 0.875
0.819 0.750 0.625
```

V: 548.6 Å³/cell

---

2:
The following is a PBE calculation of NaReTe2 after structural relaxation, from Alexandria via LeMat-Bulk.

Cell and atoms, written as POSCAR:
```
NaReTe2
1.0
3.196 0.000 0.000
-1.598 2.768 0.000
0.000 0.000 31.437
Na Re Te
3 3 6
direct
0.000 0.000 0.000
0.333 0.667 0.667
0.667 0.333 0.333
0.000 0.000 0.500
0.333 0.667 0.167
0.667 0.333 0.833
0.000 0.000 0.417
0.000 0.000 0.583
0.333 0.667 0.084
0.333 0.667 0.250
0.667 0.333 0.750
0.667 0.333 0.916
```

V: 278.1 Å³/cell

---

Short version: 1, 2, most stable first.

---

1:
The following is a PBE calculation of Na2Re2Te after structural relaxation, from Alexandria via LeMat-Bulk.

Cell and atoms, written as POSCAR:
```
Na2Re2Te
1.0
9.343 0.000 0.000
0.000 9.343 0.000
0.000 0.000 2.797
Na Re Te
4 4 2
direct
0.198 0.302 0.000
0.302 0.802 0.000
0.698 0.198 0.000
0.802 0.698 0.000
0.083 0.583 0.500
0.417 0.083 0.500
0.583 0.917 0.500
0.917 0.417 0.500
0.000 0.000 0.000
0.500 0.500 0.000
```

V: 244.2 Å³/cell

---

2:
The following is a PBE calculation of Na2Re2Te after structural relaxation, from Alexandria via LeMat-Bulk.

Cell and atoms, written as POSCAR:
```
Na2Re2Te
1.0
3.500 0.000 0.000
0.000 3.500 0.000
0.000 0.000 20.175
Na Re Te
4 4 2
direct
0.000 0.000 0.112
0.000 0.000 0.888
0.500 0.500 0.388
0.500 0.500 0.612
0.000 0.500 0.250
0.000 0.500 0.750
0.500 0.000 0.250
0.500 0.000 0.750
0.000 0.000 0.500
0.500 0.500 0.000
```

V: 247.2 Å³/cell

---

Short version: 2, 1, most stable first.

---

1:
The following is a PBE calculation of Na2TiRe after structural relaxation, from Alexandria via LeMat-Bulk.

Cell and atoms, written as POSCAR:
```
Na2TiRe
1.0
6.685 0.000 0.000
0.000 6.685 0.000
0.000 0.000 6.685
Na Ti Re
8 4 4
direct
0.250 0.250 0.250
0.250 0.250 0.750
0.250 0.750 0.250
0.250 0.750 0.750
0.750 0.250 0.250
0.750 0.250 0.750
0.750 0.750 0.250
0.750 0.750 0.750
0.000 0.000 0.000
0.000 0.500 0.500
0.500 0.000 0.500
0.500 0.500 0.000
0.000 0.000 0.500
0.000 0.500 0.000
0.500 0.000 0.000
0.500 0.500 0.500
```

V: 298.7 Å³/cell

---

2:
The following is a PBE calculation of Na2TiRe after structural relaxation, from Alexandria via LeMat-Bulk.

Cell and atoms, written as POSCAR:
```
Na2TiRe
1.0
3.668 0.000 0.000
0.000 3.668 0.000
0.000 0.000 23.002
Na Ti Re
8 4 4
direct
0.244 0.250 0.125
0.250 0.744 0.375
0.250 0.756 0.875
0.256 0.250 0.625
0.744 0.750 0.625
0.750 0.244 0.875
0.750 0.256 0.375
0.756 0.750 0.125
0.000 0.000 0.500
0.000 0.500 0.750
0.500 0.000 0.250
0.500 0.500 0.000
0.000 0.000 0.000
0.000 0.500 0.250
0.500 0.000 0.750
0.500 0.500 0.500
```

V: 309.4 Å³/cell

---

Short version: 2, 1, most stable first.